No. 1
Below is a relaxed NbReIr6 crystal, with properties calculated at the GGA-PBE level.

abc: 5.554 5.554 4.440
angles: 90.00 90.00 120.00
Sites, in units of the cell vectors:
Ir 0.504 0.007 0.000
Ir 0.504 0.496 0.000
Ir 0.993 0.496 0.000
Ir 0.329 0.164 0.500
Ir 0.836 0.164 0.500
Ir 0.836 0.671 0.500
Nb 0.333 0.667 0.500
Re 0.000 0.000 0.000

The value obtained for the calculated formation energy is -3.05 eV/f.u.

No. 2
Below is a relaxed Pr2GePt crystal, with properties calculated at the GGA-PBE level.

abc: 5.940 4.244 8.158
angles: 90.00 91.58 90.00
Sites, in units of the cell vectors:
Ge 0.367 0.750 0.463
Ge 0.633 0.250 0.537
Pr 0.372 0.250 0.169
Pr 0.870 0.750 0.306
Pr 0.130 0.250 0.694
Pr 0.628 0.750 0.831
Pt 0.850 0.250 0.041
Pt 0.150 0.750 0.959

As for the energy: -47.773 eV for the cell shown.

No. 3
Below is a relaxed LuTlFeCo crystal, with properties calculated at the GGA-PBE level.

abc: 4.643 4.643 4.643
angles: 60.00 60.00 60.00
Each line ends with the local moment (μB).
Sites, in units of the cell vectors:
Co 0.750 0.750 0.750  1.56
Fe 0.500 0.500 0.500  2.75
Lu 0.250 0.250 0.250  -0.05
Tl 0.000 0.000 0.000  0.00

Its offset from the most stable computed form is 0.084 eV per atom.

No. 4
Below is a relaxed TbSmCu2Sn2 crystal, with properties calculated at the GGA-PBE level.

abc: 4.564 4.564 7.338
angles: 90.00 90.00 120.00
Sites, in units of the cell vectors:
Cu 0.333 0.667 0.043
Cu 0.667 0.333 0.554
Sm 0.000 0.000 0.235
Sn 0.333 0.667 0.470
Sn 0.667 0.333 0.962
Tb 0.000 0.000 0.735

As for the energy: -28.415 eV for the cell shown.

No. 5
Below is a relaxed AcZn2Ni crystal, with properties calculated at the GGA-PBE level.

abc: 5.616 5.616 7.604
angles: 90.00 90.00 137.55
Sites, in units of the cell vectors:
Ac 0.553 0.447 0.250
Ac 0.447 0.553 0.750
Ni 0.277 0.723 0.250
Ni 0.723 0.277 0.750
Zn 0.829 0.171 0.057
Zn 0.829 0.171 0.443
Zn 0.171 0.829 0.557
Zn 0.171 0.829 0.943

The value obtained for the calculated formation energy is -1.39 eV/f.u.

No. 6
Below is a relaxed Na3SnAu2 crystal, with properties calculated at the GGA-PBE level.

abc: 7.036 5.791 5.707
angles: 75.45 52.81 51.74
Sites, in units of the cell vectors:
Au 0.258 0.258 0.242
Au 0.758 0.758 0.742
Na 0.166 0.843 0.157
Na 0.655 0.655 0.345
Na 0.843 0.166 0.834
Sn 0.319 0.319 0.681

As for the energy: -16.383 eV for the cell shown.

No. 7
Below is a relaxed Hf3ScHg2C2 crystal, with properties calculated at the GGA-PBE level.

abc: 3.316 3.316 14.818
angles: 90.00 90.00 120.00
Sites, in units of the cell vectors:
C 0.333 0.667 0.004
C 0.333 0.667 0.500
Hf 0.667 0.333 0.083
Hf 0.667 0.333 0.416
Hf 0.000 0.000 0.583
Hg 0.000 0.000 0.250
Hg 0.667 0.333 0.749
Sc 0.000 0.000 0.914

As for the energy: -59.962 eV for the cell shown.

No. 8
Below is a relaxed AcAsOsO crystal, with properties calculated at the GGA-PBE level.

abc: 4.202 4.202 8.830
angles: 90.00 90.00 90.00
Sites, in units of the cell vectors:
Ac 0.250 0.250 0.146
Ac 0.750 0.750 0.854
As 0.750 0.750 0.354
As 0.250 0.250 0.646
O 0.750 0.250 0.000
O 0.250 0.750 0.000
Os 0.750 0.250 0.500
Os 0.250 0.750 0.500

Its offset from the most stable computed form is 0.000 eV per atom.